## Pr3MoO7 (PBE+U)

Data for Pr3MoO7 after structural relaxation.

The space group is C222_1 (No. 20) and the conventional cell measures 7.8388, 10.9517 and 7.7652 Å, with angles of 90.00, 90.00 and 90.00 degrees. The distinct sites, in fractional coordinates, are Pr at (0.0296, 0.0000, 0.0000), Pr at (0.2320, 0.2690, 0.7562), Mo at (0.0006, 0.5000, 0.0000), O at (0.0000, 0.1304, 0.2500), O at (0.0000, 0.1354, 0.7500), O at (0.0000, 0.4350, 0.7500), O at (0.1783, 0.3771, 0.0352) and O at (0.1982, 0.3807, 0.4759).

Its energy above the most stable polymorph in this dataset is 0 meV per atom. Its total magnetization is 1.000 μB/f.u.